MnSnIr3 | PBE-GGA | optimized geometry

Output
Calculated volume   93.8 Å³ per cell
Excess energy over the best structure of this formula in the dataset   0 meV per atom
N(E_F)   0.983 states/eV per atom
Mass density   13.278 g cm⁻³
Formation energy from the elements   1077 meV/atom
Total energy   -34.4 eV/cell

a b c (Å): 4.544 4.544 4.544
angles (deg): 90.00 90.00 90.00
Sites, in units of the cell vectors:
Mn (0.000, 0.000, 0.000)
Sn (0.500, 0.500, 0.500)
Ir (0.000, 0.000, 0.500)
Ir (0.000, 0.500, 0.000)
Ir (0.500, 0.000, 0.000)